Entry 1:
First-principles (PBE) data for a relaxed Mg4Cr5 crystal, as listed in the Alexandria database.

Calculated values
**ΔH_f (0 K)**: 0.53 eV/atom
**E**: -5.526 eV/atom
**Offset from the most stable computed form**: 0.05 eV/f.u.

abc: 8.0587 8.0587 5.6451
angles: 90.00 90.00 120.00
Space group P6_3/mcm (No. 193)
One atom of each set of equivalent atoms:
Mg  0.0000  0.0000  0.0000 [2 per cell]
Mg  0.0000  0.3143  0.2500 [6 per cell]
Cr  0.0000  0.3677  0.7500 [6 per cell]
Cr  0.3333  0.6667  0.0000 [4 per cell]

---

Entry 2:
First-principles (PBE) data for a relaxed MgCr3 crystal, as listed in the Alexandria database.

Calculated values
**ΔH_f (0 K)**: 0.56 eV/atom
**E**: -7.058 eV/atom

abc: 4.915 8.504 5.196
angles: 90.00 90.00 90.00
Space group Pnma (No. 62)
One atom of each set of equivalent atoms:
Mg  0.004  0.250  0.102 [4 per cell]
Cr  0.008  0.250  0.612 [4 per cell]
Cr  0.247  0.528  0.274 [8 per cell]

---

Entry 3:
First-principles (PBE) data for a relaxed Mg2Cr crystal, as listed in the Alexandria database.

Calculated values
**ΔH_f (0 K)**: 0.45 eV/atom
**E**: -3.825 eV/atom

abc: 3.0727 3.0727 7.3918
angles: 90.00 90.00 120.00
Space group P-3m1 (No. 164)
One atom of each set of equivalent atoms:
Mg  0.3333  0.6667  0.3174 [2 per cell]
Cr  0.0000  0.0000  0.0000 [1 per cell]

---

Entry 4:
First-principles (PBE) data for a relaxed Mg3Cr2 crystal, as listed in the Alexandria database.

Calculated values
**ΔH_f (0 K)**: 0.49 eV/atom
**E**: -4.315 eV/atom
**Offset from the most stable computed form**: 0.00 eV/f.u.

abc: 10.047 14.595 5.457
angles: 90.00 90.00 90.00
Space group Fdd2 (No. 43)
One atom of each set of equivalent atoms:
Mg  0.000  0.000  0.000 [8 per cell]
Mg  0.034  0.103  0.492 [16 per cell]
Cr  0.019  0.199  0.962 [16 per cell]

---

Entry 5:
First-principles (PBE) data for a relaxed Mg2Cr crystal, as listed in the Alexandria database.

Calculated values
**ΔH_f (0 K)**: 0.54 eV/atom
**E**: -3.732 eV/atom

abc: 4.855 4.855 3.082
angles: 90.00 90.00 90.00
Space group P4/mmm (No. 123)
One atom of each set of equivalent atoms:
Mg  0.000  0.500  0.000 [2 per cell]
Cr  0.000  0.000  0.500 [1 per cell]

---

Entry 6:
First-principles (PBE) data for a relaxed Mg2Cr crystal, as listed in the Alexandria database.

Calculated values
**ΔH_f (0 K)**: 0.37 eV/atom
**E**: -3.897 eV/atom

abc: 4.8142 4.8142 2.9847
angles: 90.00 90.00 120.00
Space group P-3m1 (No. 164)
One atom of each set of equivalent atoms:
Mg  0.3333  0.6667  0.1686 [2 per cell]
Cr  0.0000  0.0000  0.5000 [1 per cell]

---

Entry 7:
First-principles (PBE) data for a relaxed Mg2Cr crystal, as listed in the Alexandria database.

Calculated values
**ΔH_f (0 K)**: 0.38 eV/atom
**E**: -3.889 eV/atom

abc: 8.3365 8.3365 3.0171
angles: 90.00 90.00 120.00
Space group P-62m (No. 189)
One atom of each set of equivalent atoms:
Mg  0.0000  0.3036  0.0000 [3 per cell]
Mg  0.0000  0.6379  0.5000 [3 per cell]
Cr  0.0000  0.0000  0.5000 [1 per cell]
Cr  0.3333  0.6667  0.0000 [2 per cell]

---

Entry 8:
First-principles (PBE) data for a relaxed MgCr5 crystal, as listed in the Alexandria database.

Calculated values
**ΔH_f (0 K)**: 0.41 eV/atom
**E**: -7.876 eV/atom

abc: 4.9358 4.9358 3.9055
angles: 90.00 90.00 120.00
Space group P6/mmm (No. 191)
One atom of each set of equivalent atoms:
Mg  0.0000  0.0000  0.0000 [1 per cell]
Cr  0.0000  0.5000  0.5000 [3 per cell]
Cr  0.3333  0.6667  0.0000 [2 per cell]

---

Entry 9:
First-principles (PBE) data for a relaxed Mg4Cr3 crystal, as listed in the Alexandria database.

Calculated values
**ΔH_f (0 K)**: 0.31 eV/atom
**E**: -4.725 eV/atom
**Offset from the most stable computed form**: 0.00 eV/f.u.

abc: 3.047 3.047 26.702
angles: 90.00 90.00 90.00
Space group I4/mmm (No. 139)
One atom of each set of equivalent atoms:
Mg  0.000  0.000  0.073 [4 per cell]
Mg  0.000  0.000  0.339 [4 per cell]
Cr  0.000  0.000  0.232 [4 per cell]
Cr  0.000  0.000  0.500 [2 per cell]

---

Entry 10:
First-principles (PBE) data for a relaxed Mg2Cr3 crystal, as listed in the Alexandria database.

Calculated values
**ΔH_f (0 K)**: 0.52 eV/atom
**E**: -5.896 eV/atom
**Offset from the most stable computed form**: 0.07 eV/f.u.

abc: 2.8723 2.8723 33.3325
angles: 90.00 90.00 120.00
Space group R-3m (No. 166, hexagonal axes)
One atom of each set of equivalent atoms:
Mg  0.0000  0.0000  0.0950 [6 per cell]
Cr  0.0000  0.0000  0.3108 [6 per cell]
Cr  0.0000  0.0000  0.5000 [3 per cell]

---

Entry 11:
First-principles (PBE) data for a relaxed MgCr2 crystal, as listed in the Alexandria database.

Calculated values
**ΔH_f (0 K)**: 0.44 eV/atom
**E**: -6.505 eV/atom
**Offset from the most stable computed form**: 0.42 eV/f.u.

abc: 5.594 4.193 7.941
angles: 90.00 90.00 90.00
Space group Pnma (No. 62)
One atom of each set of equivalent atoms:
Mg  0.149  0.250  0.068 [4 per cell]
Cr  0.053  0.250  0.708 [4 per cell]
Cr  0.135  0.250  0.404 [4 per cell]

---

Entry 12:
First-principles (PBE) data for a relaxed MgCr2 crystal, as listed in the Alexandria database.

Calculated values
**ΔH_f (0 K)**: 0.57 eV/atom
**E**: -6.376 eV/atom
**Offset from the most stable computed form**: 0.80 eV/f.u.

abc: 2.472 14.975 4.389
angles: 90.00 90.00 90.00
Space group Cmcm (No. 63)
One atom of each set of equivalent atoms:
Mg  0.000  0.119  0.250 [4 per cell]
Cr  0.000  0.213  0.750 [4 per cell]
Cr  0.000  0.455  0.250 [4 per cell]

---

Entry 13:
First-principles (PBE) data for a relaxed Mg2Cr crystal, as listed in the Alexandria database.

Calculated values
**ΔH_f (0 K)**: 0.35 eV/atom
**E**: -3.918 eV/atom

abc: 3.159 4.052 9.340
angles: 90.00 90.00 90.00
Space group Immm (No. 71)
One atom of each set of equivalent atoms:
Mg  0.000  0.000  0.161 [4 per cell]
Cr  0.000  0.000  0.500 [2 per cell]

---

Entry 14:
First-principles (PBE) data for a relaxed MgCr2 crystal, as listed in the Alexandria database.

Calculated values
**ΔH_f (0 K)**: 0.54 eV/atom
**E**: -6.411 eV/atom
**Offset from the most stable computed form**: 0.70 eV/f.u.

abc: 2.478 4.384 7.492
angles: 90.00 90.00 90.00
Space group Immm (No. 71)
One atom of each set of equivalent atoms:
Mg  0.000  0.000  0.000 [2 per cell]
Cr  0.000  0.000  0.344 [4 per cell]

---

Entry 15:
First-principles (PBE) data for a relaxed MgCr2 crystal, as listed in the Alexandria database.

Calculated values
**ΔH_f (0 K)**: 0.57 eV/atom
**E**: -6.376 eV/atom
**Offset from the most stable computed form**: 0.80 eV/f.u.

abc: 4.3268 4.3268 2.5343
angles: 90.00 90.00 120.00
Space group P6/mmm (No. 191)
One atom of each set of equivalent atoms:
Mg  0.0000  0.0000  0.0000 [1 per cell]
Cr  0.3333  0.6667  0.5000 [2 per cell]

---

Entry 16:
First-principles (PBE) data for a relaxed Mg2Cr crystal, as listed in the Alexandria database.

Calculated values
**ΔH_f (0 K)**: 0.45 eV/atom
**E**: -3.825 eV/atom

abc: 7.121 7.121 4.561
angles: 90.00 90.00 90.00
Space group I4/mcm (No. 140)
One atom of each set of equivalent atoms:
Mg  0.157  0.343  0.000 [8 per cell]
Cr  0.000  0.000  0.250 [4 per cell]

---

Entry 17:
First-principles (PBE) data for a relaxed Mg2Cr crystal, as listed in the Alexandria database.

Calculated values
**ΔH_f (0 K)**: 0.40 eV/atom
**E**: -3.872 eV/atom

abc: 4.8763 4.8763 5.8982
angles: 90.00 90.00 120.00
Space group P6_3/mmc (No. 194)
One atom of each set of equivalent atoms:
Mg  0.0000  0.0000  0.0000 [2 per cell]
Mg  0.3333  0.6667  0.2500 [2 per cell]
Cr  0.3333  0.6667  0.7500 [2 per cell]

---

Entry 18:
First-principles (PBE) data for a relaxed Mg3Cr crystal, as listed in the Alexandria database.

Calculated values
**ΔH_f (0 K)**: 0.29 eV/atom
**E**: -3.311 eV/atom

abc: 3.010 4.855 5.695
angles: 90.00 99.70 90.00
Space group P2/m (No. 10)
One atom of each set of equivalent atoms:
Mg  0.000  0.000  0.000 [1 per cell]
Mg  0.260  0.500  0.738 [2 per cell]
Cr  0.500  0.000  0.500 [1 per cell]

---

Entry 19:
First-principles (PBE) data for a relaxed MgCr3 crystal, as listed in the Alexandria database.

Calculated values
**ΔH_f (0 K)**: 0.31 eV/atom
**E**: -7.303 eV/atom

abc: 2.996 2.996 6.547
angles: 90.00 90.00 90.00
Space group P4/mmm (No. 123)
One atom of each set of equivalent atoms:
Mg  0.000  0.000  0.000 [1 per cell]
Cr  0.000  0.000  0.500 [1 per cell]
Cr  0.500  0.500  0.290 [2 per cell]

---

Entry 20:
First-principles (PBE) data for a relaxed MgCr3 crystal, as listed in the Alexandria database.

Calculated values
**ΔH_f (0 K)**: 0.53 eV/atom
**E**: -7.085 eV/atom

abc: 4.242 5.207 5.111
angles: 90.00 90.00 90.00
Space group Pmmn (No. 59, origin choice 2)
One atom of each set of equivalent atoms:
Mg  0.250  0.250  0.123 [2 per cell]
Cr  0.250  0.037  0.627 [4 per cell]
Cr  0.250  0.750  0.240 [2 per cell]

---

Entry 21:
First-principles (PBE) data for a relaxed Mg2Cr crystal, as listed in the Alexandria database.

Calculated values
**ΔH_f (0 K)**: 0.69 eV/atom
**E**: -3.583 eV/atom

abc: 6.672 6.672 6.672
angles: 90.00 90.00 90.00
Space group Fm-3m (No. 225)
One atom of each set of equivalent atoms:
Mg  0.250  0.250  0.250 [8 per cell]
Cr  0.000  0.000  0.000 [4 per cell]

---

Entry 22:
First-principles (PBE) data for a relaxed MgCr2 crystal, as listed in the Alexandria database.

Calculated values
**ΔH_f (0 K)**: 0.59 eV/atom
**E**: -6.362 eV/atom
**Offset from the most stable computed form**: 0.84 eV/f.u.

abc: 4.5352 4.5352 5.5826
angles: 90.00 90.00 120.00
Space group P6_3/mmc (No. 194)
One atom of each set of equivalent atoms:
Mg  0.3333  0.6667  0.2500 [2 per cell]
Cr  0.0000  0.0000  0.0000 [2 per cell]
Cr  0.3333  0.6667  0.7500 [2 per cell]

---

Entry 23:
First-principles (PBE) data for a relaxed MgCr3 crystal, as listed in the Alexandria database.

Calculated values
**ΔH_f (0 K)**: 0.41 eV/atom
**E**: -7.204 eV/atom

abc: 2.551 4.098 5.201
angles: 90.00 101.04 90.00
Space group P2/m (No. 10)
One atom of each set of equivalent atoms:
Mg  0.000  0.000  0.000 [1 per cell]
Cr  0.237  0.500  0.707 [2 per cell]
Cr  0.500  0.000  0.500 [1 per cell]

---

Entry 24:
First-principles (PBE) data for a relaxed Mg3Cr crystal, as listed in the Alexandria database.

Calculated values
**ΔH_f (0 K)**: 0.93 eV/atom
**E**: -2.670 eV/atom

abc: 5.436 5.436 5.436
angles: 90.00 90.00 90.00
Space group Pm-3m (No. 221)
One atom of each set of equivalent atoms:
Mg  0.000  0.000  0.500 [3 per cell]
Cr  0.000  0.000  0.000 [1 per cell]

---

Entry 25:
First-principles (PBE) data for a relaxed MgCr3 crystal, as listed in the Alexandria database.

Calculated values
**ΔH_f (0 K)**: 0.50 eV/atom
**E**: -7.120 eV/atom

abc: 4.685 4.685 4.685
angles: 90.00 90.00 90.00
Space group Pm-3n (No. 223)
One atom of each set of equivalent atoms:
Mg  0.000  0.000  0.000 [2 per cell]
Cr  0.000  0.250  0.500 [6 per cell]

---

Entry 26:
First-principles (PBE) data for a relaxed Mg2Cr crystal, as listed in the Alexandria database.

Calculated values
**ΔH_f (0 K)**: 0.58 eV/atom
**E**: -3.693 eV/atom

abc: 7.996 7.996 7.996
angles: 90.00 90.00 90.00
Space group Fd-3m (No. 227, origin choice 2)
One atom of each set of equivalent atoms:
Mg  0.000  0.000  0.000 [16 per cell]
Cr  0.125  0.125  0.625 [8 per cell]